w) VASP calculation (PBE-GGA) on a relaxed structure of LiZrCl2.

Unit cell a=7.0189 b=7.0189 c=7.0189 alpha=150.26 beta=150.26 gamma=42.56
Element x y z (fractional)
Li  0.0000  0.0000  0.0000
Zr  0.2500  0.7500  0.5000
Cl  0.5000  0.5000  0.0000
Cl  0.7500  0.2500  0.5000

Properties
D(E_F) in states/eV/cell: 2.80
M_tot in μB/f.u.: 1.099



x) VASP calculation (PBE-GGA) on a relaxed structure of LiZrCl2.

Unit cell a=3.3282 b=3.3282 c=6.4390 alpha=90.00 beta=90.00 gamma=90.00
Element x y z (fractional)
Li  0.0000  0.0000  0.0000
Zr  0.0000  0.0000  0.5000
Cl  0.5000  0.5000  0.2614
Cl  0.5000  0.5000  0.7386

Properties
D(E_F) in states/eV/cell: 1.44
M_tot in μB/f.u.: 0.000



Which is more stable than every other structure shown? x) is more stable than every other one.